Material: Cu6Sn5
Method: DFT, PBE
State: relaxed

Values from the calculation:
- Raw total energy: -3.867 eV/atom
- Crystal system: monoclinic

Cell: 11.070 7.329 9.892 Å, 90.00 98.76 90.00°
Space group C2/c (No. 15)
Unique sites:
Cu: 0.000 0.000 0.000
Cu: 0.000 0.160 0.250
Cu: 0.101 0.473 0.203
Cu: 0.194 0.004 0.890
Sn: 0.000 0.201 0.750
Sn: 0.109 0.337 0.471
Sn: 0.215 0.155 0.142